(1)
Below is a relaxed La2In2Re crystal, with properties calculated at the PBE level.

Energy of formation (eV per atom): 0.29
Polymorph energy (0 for the lowest one) (meV per atom): 0
DOS at the Fermi energy (states/eV per atom): 0.41
Space group: I4/mmm, No. 139

Lattice parameters (Å, degrees): 3.895 3.895 9.900 78.65 78.65 90.00
Atoms (fractional coordinates):
Re1 0.000 0.000 0.000
In1 0.750 0.250 0.500
In2 0.250 0.750 0.500
La1 0.414 0.414 0.172
La2 0.586 0.586 0.828



(2)
Below is a relaxed SrPm2Hg crystal, with properties calculated at the PBE level.

Energy of formation (eV per atom): 0.06
Polymorph energy (0 for the lowest one) (meV per atom): 183
DOS at the Fermi energy (states/eV per atom): 1.53
Space group: R-3m, No. 166

Lattice parameters (Å, degrees): 3.777 3.777 12.177 81.08 81.08 60.00
Atoms (fractional coordinates):
Sr1 0.000 0.000 0.000
Hg1 0.500 0.500 0.500
Pm1 0.101 0.101 0.696
Pm2 0.899 0.899 0.304



(3)
Below is a relaxed PaNi2Ag crystal, with properties calculated at the PBE level.

Energy of formation (eV per atom): -0.09
Polymorph energy (0 for the lowest one) (meV per atom): 21
DOS at the Fermi energy (states/eV per atom): 0.75
Space group: P4/mmm, No. 123

Lattice parameters (Å, degrees): 3.188 3.188 6.481 90.00 90.00 90.00
Atoms (fractional coordinates):
Ni1 0.000 0.000 0.765
Ni2 0.000 0.000 0.235
Pa1 0.500 0.500 0.500
Ag1 0.500 0.500 0.000



(4)
Below is a relaxed Cs3Ga2H4 crystal, with properties calculated at the PBE level.

Calculated total energy (eV/atom): -2.543
DOS at the Fermi energy (states/eV per atom): 0.36
Space group: C2/c, No. 15

Lattice parameters (Å, degrees): 10.002 10.002 6.157 78.27 78.27 71.40
Atoms (fractional coordinates):
Cs1 0.300 0.117 0.064
Cs2 0.883 0.700 0.436
Cs3 0.700 0.883 0.936
Cs4 0.117 0.300 0.564
Cs5 0.354 0.646 0.250
Cs6 0.646 0.354 0.750
Ga1 0.545 0.111 0.444
Ga2 0.889 0.455 0.056
Ga3 0.455 0.889 0.556
Ga4 0.111 0.545 0.944
H1 0.282 0.941 0.519
H2 0.059 0.718 0.981
H3 0.718 0.059 0.481
H4 0.941 0.282 0.019
H5 0.571 0.141 0.161
H6 0.859 0.429 0.339
H7 0.429 0.859 0.839
H8 0.141 0.571 0.661



(5)
Below is a relaxed AlRe2Tc crystal, with properties calculated at the PBE level.

Energy of formation (eV per atom): 0.02
DOS at the Fermi energy (states/eV per atom): 0.81
Space group: C2/m, No. 12

Lattice parameters (Å, degrees): 5.071 5.051 2.745 80.28 78.17 116.50
Atoms (fractional coordinates):
Re1 0.000 0.000 0.000
Re2 0.500 0.000 0.500
Tc1 0.000 0.500 0.500
Al1 0.500 0.500 0.000



(6)
Below is a relaxed ErCuF crystal, with properties calculated at the PBE level.

Uncorrected formation energy (eV per atom): -1.806
DOS at the Fermi energy (states/eV per atom): 0.43
Space group: C2/m, No. 12

Lattice parameters (Å, degrees): 4.072 4.072 7.203 102.05 102.05 61.27
Atoms (fractional coordinates):
F1 0.183 0.183 0.581
F2 0.817 0.817 0.419
Cu1 0.664 0.664 0.989
Cu2 0.336 0.336 0.011
Er1 0.932 0.932 0.745
Er2 0.068 0.068 0.255



(7)
Below is a relaxed Tb3As2Rh9Au crystal, with properties calculated at the PBE level.

Energy of formation (eV per atom): -0.32
DOS at the Fermi energy (states/eV per atom): 1.03
Space group: P-3m1, No. 164

Lattice parameters (Å, degrees): 6.227 6.227 9.421 90.00 90.00 120.00
Atoms (fractional coordinates):
Tb1 0.333 0.667 0.740
Tb2 0.000 0.000 0.000
Tb3 0.667 0.333 0.260
As1 0.333 0.667 0.170
As2 0.667 0.333 0.830
Rh1 0.860 0.140 0.736
Rh2 0.860 0.720 0.736
Rh3 0.280 0.140 0.736
Rh4 0.720 0.860 0.264
Rh5 0.140 0.280 0.264
Rh6 0.140 0.860 0.264
Rh7 0.500 0.000 0.000
Rh8 0.000 0.500 0.000
Rh9 0.500 0.500 0.000
Au1 0.000 0.000 0.500



(8)
Below is a relaxed CsInSbPd2 crystal, with properties calculated at the PBE level.

Uncorrected formation energy (eV per atom): 0.343
DOS at the Fermi energy (states/eV per atom): 0.58
Space group: P4/mmm, No. 123

Lattice parameters (Å, degrees): 5.139 6.674 5.139 90.00 90.00 90.00
Atoms (fractional coordinates):
Cs1 0.000 0.500 0.000
Sb1 0.000 0.000 0.000
Pd1 0.000 0.000 0.500
Pd2 0.500 0.000 0.000
In1 0.500 0.500 0.500



(9)
Below is a relaxed La5Ag crystal, with properties calculated at the PBE level.

Energy of formation (eV per atom): 0.01
Polymorph energy (0 for the lowest one) (meV per atom): 87
DOS at the Fermi energy (states/eV per atom): 1.55
Space group: P-62m, No. 189

Lattice parameters (Å, degrees): 6.248 6.248 5.746 90.00 90.00 120.00
Atoms (fractional coordinates):
La1 0.309 0.309 0.000
La2 0.000 0.691 0.000
La3 0.691 0.000 0.000
La4 0.667 0.333 0.500
La5 0.333 0.667 0.500
Ag1 0.000 0.000 0.500



(10)
Below is a relaxed FePb2SCl crystal, with properties calculated at the PBE level.

Polymorph energy (0 for the lowest one) (meV per atom): 0
Uncorrected formation energy (eV per atom): 0.021
DOS at the Fermi energy (states/eV per atom): 0.85
Space group: P4/mmm, No. 123

Lattice parameters (Å, degrees): 5.821 4.104 5.821 90.00 90.00 90.00
Last column: magnetic moment on the atom in μB.
Atoms (fractional coordinates):
Pb1 0.000 0.000 0.500  -0.06
Pb2 0.500 0.000 0.000  -0.06
S1 0.000 0.000 0.000  -0.01
Fe1 0.000 0.500 0.000  2.14
Cl1 0.500 0.500 0.500  -0.02



(11)
Below is a relaxed Rb5Cl4F crystal, with properties calculated at the PBE level.

Uncorrected formation energy (eV per atom): -2.054
DOS at the Fermi energy (states/eV per atom): 0.00
Space group: I4/mmm, No. 139

Lattice parameters (Å, degrees): 4.652 4.652 16.543 98.08 98.08 90.00
Last column: magnetic moment on the atom in μB.
Atoms (fractional coordinates):
Rb1 0.090 0.090 0.179  0.00
Rb2 0.500 0.500 0.000  0.00
Rb3 0.910 0.910 0.821  0.00
Rb4 0.302 0.302 0.603  0.00
Rb5 0.698 0.698 0.397  0.00
Cl1 0.403 0.403 0.805  0.01
Cl2 0.802 0.802 0.605  0.05
Cl3 0.198 0.198 0.395  0.05
Cl4 0.597 0.597 0.195  0.01
F1 0.000 0.000 0.000  0.09



(12)
Below is a relaxed Fe2CoNi2 crystal, with properties calculated at the PBE level.

Energy of formation (eV per atom): 0.50
Polymorph energy (0 for the lowest one) (meV per atom): 97
DOS at the Fermi energy (states/eV per atom): 3.72
Space group: P4/mbm, No. 127

Lattice parameters (Å, degrees): 6.635 6.635 2.528 90.00 90.00 90.00
Atoms (fractional coordinates):
Ni1 0.178 0.678 0.500
Ni2 0.678 0.822 0.500
Ni3 0.822 0.322 0.500
Ni4 0.322 0.178 0.500
Co1 0.000 0.000 0.000
Co2 0.500 0.500 0.000
Fe1 0.383 0.883 0.000
Fe2 0.883 0.617 0.000
Fe3 0.617 0.117 0.000
Fe4 0.117 0.383 0.000



(13)
Below is a relaxed NaPa2MoN5 crystal, with properties calculated at the PBE level.

Uncorrected formation energy (eV per atom): -0.964
DOS at the Fermi energy (states/eV per atom): 0.66
Space group: I4/mcm, No. 140

Lattice parameters (Å, degrees): 6.679 6.679 7.414 116.77 116.77 90.00
Atoms (fractional coordinates):
Na1 0.250 0.250 0.500
Na2 0.750 0.750 0.500
Pa1 0.181 0.319 0.000
Pa2 0.681 0.181 0.000
Pa3 0.319 0.819 0.000
Pa4 0.819 0.681 0.000
Mo1 0.250 0.750 0.500
Mo2 0.750 0.250 0.500
N1 0.988 0.488 0.265
N2 0.724 0.224 0.735
N3 0.012 0.512 0.735
N4 0.224 0.012 0.735
N5 0.512 0.724 0.735
N6 0.776 0.988 0.265
N7 0.488 0.276 0.265
N8 0.276 0.776 0.265
N9 0.500 0.500 0.000
N10 0.000 0.000 0.000



(14)
Below is a relaxed Y2BeCd crystal, with properties calculated at the PBE level.

Energy of formation (eV per atom): -0.04
Polymorph energy (0 for the lowest one) (meV per atom): 104
DOS at the Fermi energy (states/eV per atom): 1.15
Space group: Pm, No. 6

Lattice parameters (Å, degrees): 4.462 3.780 6.003 71.72 90.00 90.00
Atoms (fractional coordinates):
Y1 0.000 0.967 0.942
Y2 0.500 0.276 0.322
Be1 0.000 0.696 0.483
Cd1 0.500 0.562 0.752



(15)
Below is a relaxed Mg2Ge2Ru crystal, with properties calculated at the PBE level.

Energy of formation (eV per atom): 0.45
DOS at the Fermi energy (states/eV per atom): 0.48
Space group: I4/mmm, No. 139

Lattice parameters (Å, degrees): 3.764 3.764 6.800 73.94 73.94 90.00
Atoms (fractional coordinates):
Ru1 0.000 0.000 0.000
Ge1 0.405 0.405 0.189
Ge2 0.595 0.595 0.811
Mg1 0.750 0.250 0.500
Mg2 0.250 0.750 0.500



(16)
Below is a relaxed Na2TePbSe crystal, with properties calculated at the PBE level.

Polymorph energy (0 for the lowest one) (meV per atom): 138
Uncorrected formation energy (eV per atom): -0.613
Space group: P4/mmm, No. 123

Lattice parameters (Å, degrees): 5.243 5.243 5.930 90.00 90.00 90.00
Atoms (fractional coordinates):
Pb1 0.000 0.000 0.500
Na1 0.000 0.500 0.000
Na2 0.500 0.000 0.000
Te1 0.500 0.500 0.500
Se1 0.000 0.000 0.000



(17)
Below is a relaxed Ga2Bi2Pd crystal, with properties calculated at the PBE level.

Energy of formation (eV per atom): -0.04
Polymorph energy (0 for the lowest one) (meV per atom): 0
DOS at the Fermi energy (states/eV per atom): 0.82
Space group: P4/mbm, No. 127

Lattice parameters (Å, degrees): 6.723 6.723 5.099 90.00 90.00 90.00
Atoms (fractional coordinates):
Ga1 0.361 0.861 0.000
Ga2 0.861 0.639 0.000
Ga3 0.639 0.139 0.000
Ga4 0.139 0.361 0.000
Bi1 0.174 0.674 0.500
Bi2 0.674 0.826 0.500
Bi3 0.826 0.326 0.500
Bi4 0.326 0.174 0.500
Pd1 0.000 0.000 0.000
Pd2 0.500 0.500 0.000



(18)
Below is a relaxed Dy11Y9Sc4 crystal, with properties calculated at the PBE level.

Energy of formation (eV per atom): 0.04
DOS at the Fermi energy (states/eV per atom): 1.42
Space group: Cmmm, No. 65

Lattice parameters (Å, degrees): 3.578 14.999 14.999 112.99 90.00 90.00
Atoms (fractional coordinates):
Dy1 0.000 0.592 0.953
Dy2 0.000 0.408 0.047
Dy3 0.000 0.953 0.592
Dy4 0.000 0.047 0.408
Dy5 0.000 0.630 0.370
Dy6 0.000 0.370 0.630
Dy7 0.000 0.841 0.159
Dy8 0.000 0.159 0.841
Dy9 0.000 0.000 0.000
Dy10 0.000 0.702 0.702
Dy11 0.000 0.298 0.298
Y1 0.500 0.629 0.165
Y2 0.500 0.371 0.835
Y3 0.500 0.165 0.629
Y4 0.500 0.835 0.371
Y5 0.500 0.782 0.927
Y6 0.500 0.218 0.073
Y7 0.500 0.927 0.782
Y8 0.500 0.073 0.218
Y9 0.500 0.500 0.500
Sc1 0.500 0.554 0.757
Sc2 0.500 0.446 0.243
Sc3 0.500 0.757 0.554
Sc4 0.500 0.243 0.446



(19)
Below is a relaxed Li4LaIn2Ag crystal, with properties calculated at the PBE level.

Energy of formation (eV per atom): -0.22
DOS at the Fermi energy (states/eV per atom): 0.60
Space group: R-3m, No. 166

Lattice parameters (Å, degrees): 4.933 4.933 8.443 73.01 73.01 60.00
Atoms (fractional coordinates):
Li1 0.393 0.393 0.821
Li2 0.862 0.862 0.413
Li3 0.138 0.138 0.587
Li4 0.607 0.607 0.179
La1 0.000 0.000 0.000
In1 0.743 0.743 0.771
In2 0.257 0.257 0.229
Ag1 0.500 0.500 0.500



(20)
Below is a relaxed CaLa3Pr5 crystal, with properties calculated at the PBE level.

Energy of formation (eV per atom): 0.07
DOS at the Fermi energy (states/eV per atom): 1.60
Space group: Cmcm, No. 63

Lattice parameters (Å, degrees): 7.213 10.298 10.298 120.00 90.00 90.00
Atoms (fractional coordinates):
Ca1 0.000 0.000 0.000
Ca2 0.500 0.000 0.000
La1 0.750 0.314 0.313
La2 0.750 0.001 0.687
La3 0.750 0.686 0.000
La4 0.250 0.686 0.687
La5 0.250 0.999 0.313
La6 0.250 0.314 0.000
Pr1 0.000 0.667 0.333
Pr2 0.500 0.333 0.667
Pr3 0.000 0.333 0.667
Pr4 0.500 0.667 0.333
Pr5 0.750 0.645 0.645
Pr6 0.750 0.000 0.355
Pr7 0.750 0.355 0.000
Pr8 0.250 0.355 0.355
Pr9 0.250 0.000 0.645
Pr10 0.250 0.645 0.000



Number 1: V 144 Å³/cell, magnetization 0.0 μB/cell. Number 2: V 148 Å³/cell, magnetization 0.0 μB/cell. Number 3: V 66 Å³/cell, magnetization 0.0 μB/cell. Number 4: V 565 Å³/cell, magnetization 0.0 μB/cell. Number 5: V 59 Å³/cell, magnetization 0.0 μB/cell. Number 6: V 102 Å³/cell, magnetization 0.0 μB/cell. Number 7: V 316 Å³/cell, magnetization 0.0 μB/cell. Number 8: V 176 Å³/cell, magnetization 0.0 μB/cell. Number 9: V 194 Å³/cell, magnetization 0.0 μB/cell. Number 10: V 139 Å³/cell, magnetization 1.8 μB/cell. Number 11: V 351 Å³/cell, magnetization 0.3 μB/cell. Number 12: V 111 Å³/cell, magnetization 0.0 μB/cell. Number 13: V 255 Å³/cell, magnetization 0.0 μB/cell. Number 14: V 96 Å³/cell, magnetization 0.0 μB/cell. Number 15: V 89 Å³/cell, magnetization 0.0 μB/cell. Number 16: V 163 Å³/cell, magnetization 0.0 μB/cell. Number 17: V 230 Å³/cell, magnetization 0.0 μB/cell. Number 18: V 741 Å³/cell, magnetization 0.0 μB/cell. Number 19: V 168 Å³/cell, magnetization 0.0 μB/cell. Number 20: V 662 Å³/cell, magnetization 0.0 μB/cell.